A relaxed LaCr4Cd crystal. Source: Alexandria, functional GGA-PBEsol.

Geometry as POSCAR:
```
LaCr4Cd
1.0
-0.2895 -4.3785 -2.6001
3.9986 -1.6194 -2.7211
2.6604 -4.0667 1.5492
La Cr Cd
1 4 1
direct
0.2500 0.2500 0.2500
0.1322 0.6226 0.6226
0.6226 0.6226 0.1322
0.6226 0.6226 0.6226
0.6226 0.1322 0.6226
0.0000 0.0000 0.0000
```

Total energy ... -43.8 eV/cell
V ... 15.64 A^3/atom
Energy of formation from the pure elements ... 0.6257 eV per atom


A relaxed Mn2CoMo crystal. Source: Alexandria, functional GGA-PBEsol.

Geometry as POSCAR:
```
Mn2CoMo
1.0
2.9498 0.0000 0.0000
0.0000 2.9498 0.0000
0.0000 0.0000 5.5971
Mn Co Mo
2 1 1
direct
0.0000 0.0000 0.2578
0.0000 0.0000 0.7422
0.5000 0.5000 0.5000
0.5000 0.5000 0.0000
```

Total energy ... -38.5 eV/cell
V ... 12.18 A^3/atom
Energy of formation from the pure elements ... 0.1201 eV per atom


A relaxed TlSiPb crystal. Source: Alexandria, functional GGA-PBEsol.

Geometry as POSCAR:
```
TlSiPb
1.0
3.4821 0.1431 0.0000
-0.1323 3.4825 0.0000
-1.6749 -1.8128 6.1510
Si Pb Tl
1 1 1
direct
0.6640 0.6640 0.3280
0.0218 0.0218 0.0436
0.3142 0.3142 0.6284
```

E_form (uncorrected) ... 94 kJ/mol of formula units
Total energy ... -11.4 eV/cell
Relative energy among the computed polymorphs ... 0.000 eV per atom
V ... 24.90 A^3/atom


A relaxed LaCuTeH2 crystal. Source: Alexandria, functional GGA-PBEsol.

Geometry as POSCAR:
```
LaCuTeH2
1.0
4.0225 0.0000 0.0000
0.0000 4.0225 0.0000
0.0000 0.0000 6.5646
Te Cu H La
1 1 2 1
direct
0.0000 0.0000 0.0000
0.5000 0.5000 0.5000
0.0000 0.5000 0.0000
0.5000 0.0000 0.0000
0.0000 0.0000 0.5000
```

Total energy ... -18.1 eV/cell
V ... 21.24 A^3/atom


Number 1: M_tot 0.0 μB/f.u.. Number 2: M_tot 5.1 μB/f.u.. Number 3: M_tot 0.0 μB/f.u.. Number 4: M_tot 0.0 μB/f.u..